Record 1
# Na2MoPb PBE-GGA optimized geometry
data_Na2MoPb
_cell_length_a 8.7159
_cell_length_b 8.7159
_cell_length_c 5.7216
_cell_angle_alpha 90.00
_cell_angle_beta 90.00
_cell_angle_gamma 90.00
_space_group_name_H-M_alt 'P 1'
_space_group_IT_number 1
_space_group_name_Hall 'P 1'
loop_
_atom_site_label
_atom_site_fract_x
_atom_site_fract_y
_atom_site_fract_z
Na1 0.2462 0.7500 0.1250
Na2 0.2500 0.2462 0.8750
Na3 0.2500 0.2538 0.3750
Na4 0.2538 0.7500 0.6250
Na5 0.7462 0.2500 0.6250
Na6 0.7500 0.7462 0.3750
Na7 0.7500 0.7538 0.8750
Na8 0.7538 0.2500 0.1250
Mo1 0.0000 0.0000 0.0000
Mo2 0.0000 0.5000 0.2500
Mo3 0.5000 0.0000 0.7500
Mo4 0.5000 0.5000 0.5000
Pb1 0.0000 0.0000 0.5000
Pb2 0.0000 0.5000 0.7500
Pb3 0.5000 0.0000 0.2500
Pb4 0.5000 0.5000 0.0000
# - total energy (eV/atom) = -3.387
# - crystal system = tetragonal
# - DFT formation energy (eV per atom) = 0.91

---

Record 2
# Na3MoPb PBE-GGA optimized geometry
data_Na3MoPb
_cell_length_a 5.8640
_cell_length_b 5.8640
_cell_length_c 5.8640
_cell_angle_alpha 90.00
_cell_angle_beta 90.00
_cell_angle_gamma 90.00
_space_group_name_H-M_alt 'P 1'
_space_group_IT_number 1
_space_group_name_Hall 'P 1'
loop_
_atom_site_label
_atom_site_fract_x
_atom_site_fract_y
_atom_site_fract_z
Na1 0.0000 0.0000 0.5000
Na2 0.0000 0.5000 0.0000
Na3 0.5000 0.0000 0.0000
Mo1 0.5000 0.5000 0.5000
Pb1 0.0000 0.0000 0.0000
# - total energy (eV/atom) = -2.569
# - crystal system = cubic
# - DFT formation energy (eV per atom) = 1.13

---

Record 3
# NaMo3Pb PBE-GGA optimized geometry
data_NaMo3Pb
_cell_length_a 4.6428
_cell_length_b 4.6428
_cell_length_c 4.6428
_cell_angle_alpha 90.00
_cell_angle_beta 90.00
_cell_angle_gamma 90.00
_space_group_name_H-M_alt 'P 1'
_space_group_IT_number 1
_space_group_name_Hall 'P 1'
loop_
_atom_site_label
_atom_site_fract_x
_atom_site_fract_y
_atom_site_fract_z
Na1 0.0000 0.0000 0.0000
Mo1 0.0000 0.0000 0.5000
Mo2 0.0000 0.5000 0.0000
Mo3 0.5000 0.0000 0.0000
Pb1 0.5000 0.5000 0.5000
# - total energy (eV/atom) = -5.078
# - crystal system = cubic
# - DFT formation energy (eV per atom) = 2.43

---

Record 4
# NaMo3Pb PBE-GGA optimized geometry
data_NaMo3Pb
_cell_length_a 5.1114
_cell_length_b 5.1114
_cell_length_c 5.1114
_cell_angle_alpha 90.00
_cell_angle_beta 90.00
_cell_angle_gamma 90.00
_space_group_name_H-M_alt 'P 1'
_space_group_IT_number 1
_space_group_name_Hall 'P 1'
loop_
_atom_site_label
_atom_site_fract_x
_atom_site_fract_y
_atom_site_fract_z
Na1 0.0000 0.0000 0.0000
Mo1 0.0000 0.5000 0.5000
Mo2 0.5000 0.0000 0.5000
Mo3 0.5000 0.5000 0.0000
Pb1 0.5000 0.5000 0.5000
# - total energy (eV/atom) = -5.008
# - crystal system = cubic
# - DFT formation energy (eV per atom) = 2.50

---

Record 5
# Na2MoPdPb PBE-GGA optimized geometry
data_Na2MoPdPb
_cell_length_a 5.1839
_cell_length_b 5.1839
_cell_length_c 4.9546
_cell_angle_alpha 90.00
_cell_angle_beta 90.00
_cell_angle_gamma 90.00
_space_group_name_H-M_alt 'P 1'
_space_group_IT_number 1
_space_group_name_Hall 'P 1'
loop_
_atom_site_label
_atom_site_fract_x
_atom_site_fract_y
_atom_site_fract_z
Na1 0.0000 0.5000 0.0000
Na2 0.5000 0.0000 0.0000
Mo1 0.0000 0.0000 0.5000
Pd1 0.0000 0.0000 0.0000
Pb1 0.5000 0.5000 0.5000
# - total energy (eV/atom) = -3.677
# - crystal system = tetragonal
# - DFT formation energy (eV per atom) = 0.80

---

Record 6
# NaMoRuPb2 PBE-GGA optimized geometry
data_NaMoRuPb2
_cell_length_a 5.4609
_cell_length_b 5.4609
_cell_length_c 4.7109
_cell_angle_alpha 90.00
_cell_angle_beta 90.00
_cell_angle_gamma 90.00
_space_group_name_H-M_alt 'P 1'
_space_group_IT_number 1
_space_group_name_Hall 'P 1'
loop_
_atom_site_label
_atom_site_fract_x
_atom_site_fract_y
_atom_site_fract_z
Na1 0.0000 0.0000 0.0000
Mo1 0.5000 0.5000 0.5000
Ru1 0.5000 0.5000 0.0000
Pb1 0.0000 0.5000 0.5000
Pb2 0.5000 0.0000 0.5000
# - total energy (eV/atom) = -4.999
# - crystal system = tetragonal
# - DFT formation energy (eV per atom) = 0.77

---

total energy of number 6 (NaMoRuPb2)?
-4.999 eV/atom

---

Which of these has the highest DFT formation energy?
number 4

---

What is the formula in the fifth record?
Na2MoPdPb